Entry 1:
PBE ScCoIr3, relaxed; space group = No. 221; DFT formation energy = 1778 meV/atom; excess energy over the best structure of this formula in the dataset = 110.67 kJ per mole of atoms
1.0
4.6452 0.0000 0.0000
0.0000 4.6452 0.0000
0.0000 0.0000 4.6452
Sc Co Ir
1 1 3
Direct
0.0000 0.0000 0.0000
0.5000 0.5000 0.5000
0.0000 0.0000 0.5000
0.0000 0.5000 0.0000
0.5000 0.0000 0.0000


Entry 2:
PBE Sc2CoIr, relaxed; space group = No. 166; DFT formation energy = 68 meV/atom; excess energy over the best structure of this formula in the dataset = 76.09 kJ per mole of atoms
1.0
1.5172 0.8760 8.8002
-1.5172 0.8760 8.8002
0.0000 -1.7520 8.8002
Sc Co Ir
2 1 1
Direct
0.0874 0.0874 0.0874
0.9126 0.9126 0.9126
0.0000 0.0000 0.0000
0.5000 0.5000 0.5000


Entry 3:
PBE ScCoIr4, relaxed; space group = No. 216; DFT formation energy = -72 meV/atom
1.0
0.0000 3.6566 3.6566
3.6566 0.0000 3.6566
3.6566 3.6566 0.0000
Sc Co Ir
1 1 4
Direct
0.0000 0.0000 0.0000
0.7500 0.7500 0.7500
0.3751 0.3751 0.3751
0.3751 0.3751 0.8746
0.3751 0.8746 0.3751
0.8746 0.3751 0.3751


Entry 4:
PBE ScCoIr, relaxed; space group = No. 139; DFT formation energy = -289 meV/atom; excess energy over the best structure of this formula in the dataset = 32.45 kJ per mole of atoms
1.0
-1.9913 1.9913 6.1090
1.9913 -1.9913 6.1090
1.9913 1.9913 -6.1090
Sc Co Ir
2 2 2
Direct
0.1645 0.1645 0.0000
0.8355 0.8355 0.0000
0.3753 0.3753 0.0000
0.6247 0.6247 0.0000
0.0000 0.5000 0.5000
0.5000 0.0000 0.5000


Entry 5:
PBE ScCo2Ir2, relaxed; space group = No. 127; DFT formation energy = -154 meV/atom; excess energy over the best structure of this formula in the dataset = 6.95 kJ per mole of atoms
1.0
7.2225 0.0000 0.0000
0.0000 7.2225 0.0000
0.0000 0.0000 2.7690
Sc Co Ir
2 4 4
Direct
0.0000 0.0000 0.0000
0.5000 0.5000 0.0000
0.1699 0.3301 0.5000
0.3301 0.8301 0.5000
0.6699 0.1699 0.5000
0.8301 0.6699 0.5000
0.1295 0.6295 0.0000
0.3705 0.1295 0.0000
0.6295 0.8705 0.0000
0.8705 0.3705 0.0000


Entry 6:
PBE ScCoIr, relaxed; space group = No. 216; DFT formation energy = -155 meV/atom; excess energy over the best structure of this formula in the dataset = 45.43 kJ per mole of atoms
1.0
0.0000 2.9373 2.9373
2.9373 0.0000 2.9373
2.9373 2.9373 0.0000
Sc Co Ir
1 1 1
Direct
0.0000 0.0000 0.0000
0.2500 0.2500 0.2500
0.5000 0.5000 0.5000


Entry 7:
PBE Sc4CoIr, relaxed; space group = No. 216; DFT formation energy = 466 meV/atom; excess energy over the best structure of this formula in the dataset = 94.55 kJ per mole of atoms
1.0
0.0000 3.8140 3.8140
3.8140 0.0000 3.8140
3.8140 3.8140 0.0000
Sc Co Ir
4 1 1
Direct
0.3758 0.3758 0.3758
0.3758 0.3758 0.8726
0.3758 0.8726 0.3758
0.8726 0.3758 0.3758
0.0000 0.0000 0.0000
0.7500 0.7500 0.7500


Entry 8:
PBE Sc2CoIr, relaxed; space group = No. 99; DFT formation energy = -272 meV/atom; excess energy over the best structure of this formula in the dataset = 43.28 kJ per mole of atoms
1.0
3.5156 0.0000 0.0000
0.0000 3.5156 0.0000
0.0000 0.0000 5.6135
Sc Co Ir
2 1 1
Direct
0.0000 0.0000 0.0000
0.5000 0.5000 0.3546
0.0000 0.0000 0.5100
0.5000 0.5000 0.8334


Entry 9:
PBE Sc2CoIr, relaxed; space group = No. 166; DFT formation energy = -238 meV/atom; excess energy over the best structure of this formula in the dataset = 46.58 kJ per mole of atoms
1.0
1.5417 0.8901 8.0803
-1.5417 0.8901 8.0803
0.0000 -1.7802 8.0803
Sc Co Ir
2 1 1
Direct
0.2459 0.2459 0.2459
0.7541 0.7541 0.7541
0.5000 0.5000 0.5000
0.0000 0.0000 0.0000


Entry 10:
PBE ScCoIr, relaxed; space group = No. 44; DFT formation energy = -296 meV/atom; excess energy over the best structure of this formula in the dataset = 31.84 kJ per mole of atoms
1.0
-1.4829 1.7774 4.3683
1.4829 -1.7774 4.3683
1.4829 1.7774 -4.3683
Sc Co Ir
1 1 1
Direct
0.0000 0.0000 0.0000
0.6812 0.6812 0.0000
0.3229 0.3229 0.0000


Entry 11:
PBE ScCoIr, relaxed; space group = No. 74; DFT formation energy = -626 meV/atom; excess energy over the best structure of this formula in the dataset = 0.00 kJ per mole of atoms
1.0
-2.4449 2.6229 3.5299
2.4449 -2.6229 3.5299
2.4449 2.6229 -3.5299
Sc Co Ir
2 2 2
Direct
0.3709 0.1209 0.2500
0.6291 0.8791 0.7500
0.0000 0.0000 0.5000
0.0000 0.5000 0.0000
0.0000 0.5000 0.5000
0.5000 0.5000 0.0000


Entry 12:
PBE ScCoIr, relaxed; space group = No. 156; DFT formation energy = 11 meV/atom; excess energy over the best structure of this formula in the dataset = 61.40 kJ per mole of atoms
1.0
2.9076 0.0000 0.0000
-1.4538 2.5180 0.0000
0.0000 0.0000 6.2992
Sc Co Ir
1 1 1
Direct
0.0000 0.0000 0.0000
0.6667 0.3333 0.3320
0.3333 0.6667 0.6544


Entry 13:
PBE Sc2CoIr, relaxed; space group = No. 123; DFT formation energy = -702 meV/atom; excess energy over the best structure of this formula in the dataset = 1.80 kJ per mole of atoms
1.0
4.5238 0.0000 0.0000
0.0000 4.5238 0.0000
0.0000 0.0000 3.1623
Sc Co Ir
2 1 1
Direct
0.0000 0.5000 0.0000
0.5000 0.0000 0.0000
0.0000 0.0000 0.5000
0.5000 0.5000 0.5000


Entry 14:
PBE Sc4CoIr, relaxed; space group = No. 12; DFT formation energy = -415 meV/atom; excess energy over the best structure of this formula in the dataset = 9.50 kJ per mole of atoms
1.0
3.1433 -3.1432 0.0000
3.1433 3.1432 0.0000
-0.0091 0.0000 6.2907
Sc Co Ir
4 1 1
Direct
0.9995 0.4998 0.2428
0.0005 0.5002 0.7572
0.4998 0.9995 0.2428
0.5002 0.0005 0.7572
0.0000 0.0000 0.0000
0.5000 0.5000 0.5000


Entry 15:
PBE Sc6Co2Ir, relaxed; space group = No. 71; DFT formation energy = -449 meV/atom
1.0
-4.3123 4.3943 4.4545
4.3123 -4.3943 4.4545
4.3123 4.3943 -4.4545
Sc Co Ir
12 4 2
Direct
0.0233 0.8267 0.1966
0.2542 0.5627 0.3085
0.2542 0.9456 0.6915
0.2650 0.3205 0.5855
0.2650 0.6795 0.9445
0.3699 0.1733 0.1966
0.6301 0.8267 0.8034
0.7350 0.3205 0.0555
0.7350 0.6795 0.4145
0.7458 0.0544 0.3085
0.7458 0.4373 0.6915
0.9767 0.1733 0.8034
0.0000 0.1542 0.1542
0.0000 0.8458 0.8458
0.3785 0.3785 0.0000
0.6215 0.6215 0.0000
0.0000 0.5000 0.5000
0.5000 0.0000 0.5000


Entry 16:
PBE Sc2CoIr, relaxed; space group = No. 44; DFT formation energy = -466 meV/atom; excess energy over the best structure of this formula in the dataset = 24.55 kJ per mole of atoms
1.0
-1.6438 2.1460 4.6660
1.6438 -2.1460 4.6660
1.6438 2.1460 -4.6660
Sc Co Ir
2 1 1
Direct
0.0000 0.0000 0.0000
0.7269 0.2269 0.5000
0.2426 0.7426 0.5000
0.4792 0.4792 0.0000


Entry 17:
PBE Sc2CoIr, relaxed; space group = No. 160; DFT formation energy = 80 meV/atom; excess energy over the best structure of this formula in the dataset = 77.26 kJ per mole of atoms
1.0
1.5338 0.8855 8.8169
-1.5338 0.8855 8.8169
0.0000 -1.7711 8.8169
Sc Co Ir
2 1 1
Direct
0.0000 0.0000 0.0000
0.2211 0.2211 0.2211
0.4838 0.4838 0.4838
0.7405 0.7405 0.7405


Entry 18:
PBE ScCoIr, relaxed; space group = No. 107; DFT formation energy = -250 meV/atom; excess energy over the best structure of this formula in the dataset = 36.23 kJ per mole of atoms
1.0
-1.4420 1.4420 5.5233
1.4420 -1.4420 5.5233
1.4420 1.4420 -5.5233
Sc Co Ir
1 1 1
Direct
0.0000 0.0000 0.0000
0.3199 0.3199 0.0000
0.6806 0.6806 0.0000


Entry 19:
PBE Sc2CoIr2, relaxed; space group = No. 127; DFT formation energy = -539 meV/atom
1.0
6.4632 0.0000 0.0000
0.0000 6.4632 0.0000
0.0000 0.0000 4.0977
Sc Co Ir
4 2 4
Direct
0.1756 0.3244 0.0000
0.3244 0.8244 0.0000
0.6756 0.1756 0.0000
0.8244 0.6756 0.0000
0.0000 0.0000 0.5000
0.5000 0.5000 0.5000
0.1392 0.6392 0.5000
0.3608 0.1392 0.5000
0.6392 0.8608 0.5000
0.8608 0.3608 0.5000


Entry 20:
PBE ScCoIr2, relaxed; space group = No. 225; DFT formation energy = -269 meV/atom
1.0
0.0000 3.1088 3.1088
3.1088 0.0000 3.1088
3.1088 3.1088 0.0000
Sc Co Ir
1 1 2
Direct
0.0000 0.0000 0.0000
0.5000 0.5000 0.5000
0.2500 0.2500 0.2500
0.7500 0.7500 0.7500


Number 1: uncorrected energy -31.1 eV for the cell shown. Number 2: uncorrected energy -28.4 eV for the cell shown. Number 3: uncorrected energy -49.3 eV for the cell shown. Number 4: uncorrected energy -46.3 eV for the cell shown. Number 5: uncorrected energy -78.1 eV for the cell shown. Number 6: uncorrected energy -22.8 eV for the cell shown. Number 7: uncorrected energy -38.5 eV for the cell shown. Number 8: uncorrected energy -29.7 eV for the cell shown. Number 9: uncorrected energy -29.6 eV for the cell shown. Number 10: uncorrected energy -23.2 eV for the cell shown. Number 11: uncorrected energy -48.4 eV for the cell shown. Number 12: uncorrected energy -22.3 eV for the cell shown. Number 13: uncorrected energy -31.4 eV for the cell shown. Number 14: uncorrected energy -43.8 eV for the cell shown. Number 15: uncorrected energy -130.2 eV for the cell shown. Number 16: uncorrected energy -30.5 eV for the cell shown. Number 17: uncorrected energy -28.3 eV for the cell shown. Number 18: uncorrected energy -23.0 eV for the cell shown. Number 19: uncorrected energy -80.4 eV for the cell shown. Number 20: uncorrected energy -32.2 eV for the cell shown.